# Lu2TlCu (PBE-GGA, optimized geometry)
# Calculated formation energy   -288 meV/atom
# M_tot   0.0 μB per cell
data_Lu2TlCu
_chemical_formula_sum 'Lu2 Tl1 Cu1'
_space_group_name_H-M_alt 'P 4/m m m'
_space_group_IT_number 123
_space_group_name_Hall '-P 4 2'
_cell_length_a 3.499
_cell_length_b 3.499
_cell_length_c 7.445
_cell_angle_alpha 90.00
_cell_angle_beta 90.00
_cell_angle_gamma 90.00
loop_
_atom_site_label
_atom_site_fract_x
_atom_site_fract_y
_atom_site_fract_z
Lu1 0.000 0.000 0.219
Tl1 0.500 0.500 0.500
Cu1 0.500 0.500 0.000

=====

# LuZrTlCu (PBE-GGA, optimized geometry)
# Calculated formation energy   -74 meV/atom
# M_tot   3.2 μB per cell
data_LuZrTlCu
_chemical_formula_sum 'Lu4 Zr4 Tl4 Cu4'
_space_group_name_H-M_alt 'F -4 3 m'
_space_group_IT_number 216
_space_group_name_Hall 'F -4 2 3'
_cell_length_a 7.026
_cell_length_b 7.026
_cell_length_c 7.026
_cell_angle_alpha 90.00
_cell_angle_beta 90.00
_cell_angle_gamma 90.00
loop_
_atom_site_label
_atom_site_fract_x
_atom_site_fract_y
_atom_site_fract_z
Lu1 0.000 0.000 0.000
Zr1 0.000 0.000 0.500
Tl1 0.250 0.250 0.750
Cu1 0.250 0.250 0.250

=====

# LuUCu4 (PBE-GGA, optimized geometry)
# Calculated formation energy   62 meV/atom
# M_tot   10.1 μB per cell
data_LuUCu4
_chemical_formula_sum 'Lu4 U4 Cu16'
_space_group_name_H-M_alt 'F -4 3 m'
_space_group_IT_number 216
_space_group_name_Hall 'F -4 2 3'
_cell_length_a 7.331
_cell_length_b 7.331
_cell_length_c 7.331
_cell_angle_alpha 90.00
_cell_angle_beta 90.00
_cell_angle_gamma 90.00
loop_
_atom_site_label
_atom_site_fract_x
_atom_site_fract_y
_atom_site_fract_z
Lu1 0.000 0.000 0.000
U1 0.250 0.250 0.250
Cu1 0.126 0.126 0.626

=====

# LuZrVCu (PBE-GGA, optimized geometry)
# Calculated formation energy   108 meV/atom
# M_tot   11.0 μB per cell
data_LuZrVCu
_chemical_formula_sum 'Lu4 Zr4 V4 Cu4'
_space_group_name_H-M_alt 'F -4 3 m'
_space_group_IT_number 216
_space_group_name_Hall 'F -4 2 3'
_cell_length_a 6.761
_cell_length_b 6.761
_cell_length_c 6.761
_cell_angle_alpha 90.00
_cell_angle_beta 90.00
_cell_angle_gamma 90.00
loop_
_atom_site_label
_atom_site_fract_x
_atom_site_fract_y
_atom_site_fract_z
Lu1 0.000 0.000 0.000
Zr1 0.000 0.000 0.500
V1 0.250 0.250 0.250
Cu1 0.250 0.250 0.750

=====

# YLuCu4 (PBE-GGA, optimized geometry)
# Calculated formation energy   -195 meV/atom
# M_tot   0.0 μB per cell
data_YLuCu4
_chemical_formula_sum 'Y4 Lu4 Cu16'
_space_group_name_H-M_alt 'F -4 3 m'
_space_group_IT_number 216
_space_group_name_Hall 'F -4 2 3'
_cell_length_a 7.399
_cell_length_b 7.399
_cell_length_c 7.399
_cell_angle_alpha 90.00
_cell_angle_beta 90.00
_cell_angle_gamma 90.00
loop_
_atom_site_label
_atom_site_fract_x
_atom_site_fract_y
_atom_site_fract_z
Y1 0.000 0.000 0.000
Lu1 0.250 0.250 0.250
Cu1 0.125 0.125 0.625

=====

# LuZnCu (PBE-GGA, optimized geometry)
# Calculated formation energy   -140 meV/atom
# M_tot   0.0 μB per cell
data_LuZnCu
_chemical_formula_sum 'Lu4 Zn4 Cu4'
_space_group_name_H-M_alt 'F -4 3 m'
_space_group_IT_number 216
_space_group_name_Hall 'F -4 2 3'
_cell_length_a 6.234
_cell_length_b 6.234
_cell_length_c 6.234
_cell_angle_alpha 90.00
_cell_angle_beta 90.00
_cell_angle_gamma 90.00
loop_
_atom_site_label
_atom_site_fract_x
_atom_site_fract_y
_atom_site_fract_z
Lu1 0.000 0.000 0.000
Zn1 0.000 0.000 0.500
Cu1 0.250 0.250 0.250

=====

# LuZnCu (PBE-GGA, optimized geometry)
# Calculated formation energy   -214 meV/atom
# M_tot   0.0 μB per cell
data_LuZnCu
_chemical_formula_sum 'Lu2 Zn2 Cu2'
_space_group_name_H-M_alt 'I 4 m m'
_space_group_IT_number 107
_space_group_name_Hall 'I 4 -2'
_cell_length_a 3.366
_cell_length_b 3.366
_cell_length_c 9.501
_cell_angle_alpha 90.00
_cell_angle_beta 90.00
_cell_angle_gamma 90.00
loop_
_atom_site_label
_atom_site_fract_x
_atom_site_fract_y
_atom_site_fract_z
Lu1 0.000 0.000 0.000
Zn1 0.000 0.000 0.691
Cu1 0.000 0.000 0.316

=====

# LuZnCu (PBE-GGA, optimized geometry)
# Calculated formation energy   -321 meV/atom
# M_tot   0.0 μB per cell
data_LuZnCu
_chemical_formula_sum 'Lu1 Zn1 Cu1'
_space_group_name_H-M_alt 'P -6 m 2'
_space_group_IT_number 187
_space_group_name_Hall 'P -6 2'
_cell_length_a 4.2905
_cell_length_b 4.2905
_cell_length_c 3.4724
_cell_angle_alpha 90.00
_cell_angle_beta 90.00
_cell_angle_gamma 120.00
loop_
_atom_site_label
_atom_site_fract_x
_atom_site_fract_y
_atom_site_fract_z
Lu1 0.0000 0.0000 0.0000
Zn1 0.3333 0.6667 0.5000
Cu1 0.6667 0.3333 0.5000

=====

# LuZrCu2 (PBE-GGA, optimized geometry)
# Calculated formation energy   -156 meV/atom
# M_tot   0.0 μB per cell
# Excess energy over the best structure of this formula in the dataset   0.023 eV per atom
data_LuZrCu2
_chemical_formula_sum 'Lu4 Zr4 Cu8'
_space_group_name_H-M_alt 'F m -3 m'
_space_group_IT_number 225
_space_group_name_Hall '-F 4 2 3'
_cell_length_a 6.664
_cell_length_b 6.664
_cell_length_c 6.664
_cell_angle_alpha 90.00
_cell_angle_beta 90.00
_cell_angle_gamma 90.00
loop_
_atom_site_label
_atom_site_fract_x
_atom_site_fract_y
_atom_site_fract_z
Lu1 0.000 0.000 0.000
Zr1 0.000 0.000 0.500
Cu1 0.250 0.250 0.250

=====

# LuZr2Cu (PBE-GGA, optimized geometry)
# Calculated formation energy   -1 meV/atom
# M_tot   0.0 μB per cell
# Excess energy over the best structure of this formula in the dataset   0.000 eV per atom
data_LuZr2Cu
_chemical_formula_sum 'Lu1 Zr2 Cu1'
_space_group_name_H-M_alt 'P 4/m m m'
_space_group_IT_number 123
_space_group_name_Hall '-P 4 2'
_cell_length_a 3.258
_cell_length_b 3.258
_cell_length_c 8.076
_cell_angle_alpha 90.00
_cell_angle_beta 90.00
_cell_angle_gamma 90.00
loop_
_atom_site_label
_atom_site_fract_x
_atom_site_fract_y
_atom_site_fract_z
Lu1 0.000 0.000 0.000
Zr1 0.500 0.500 0.288
Cu1 0.000 0.000 0.500

=====

# LuZrCu2 (PBE-GGA, optimized geometry)
# Calculated formation energy   -173 meV/atom
# M_tot   0.6 μB per cell
# Excess energy over the best structure of this formula in the dataset   0.006 eV per atom
data_LuZrCu2
_chemical_formula_sum 'Lu1 Zr1 Cu2'
_space_group_name_H-M_alt 'P 4/m m m'
_space_group_IT_number 123
_space_group_name_Hall '-P 4 2'
_cell_length_a 4.729
_cell_length_b 4.729
_cell_length_c 3.306
_cell_angle_alpha 90.00
_cell_angle_beta 90.00
_cell_angle_gamma 90.00
loop_
_atom_site_label
_atom_site_fract_x
_atom_site_fract_y
_atom_site_fract_z
Lu1 0.000 0.000 0.000
Zr1 0.500 0.500 0.000
Cu1 0.000 0.500 0.500

=====

# Lu2ZrCu (PBE-GGA, optimized geometry)
# Calculated formation energy   308 meV/atom
# M_tot   0.0 μB per cell
# Excess energy over the best structure of this formula in the dataset   0.432 eV per atom
data_Lu2ZrCu
_chemical_formula_sum 'Lu6 Zr3 Cu3'
_space_group_name_H-M_alt 'R -3 m'
_space_group_IT_number 166
_space_group_name_Hall '-R 3 2"'
_cell_length_a 3.2271
_cell_length_b 3.2271
_cell_length_c 31.7867
_cell_angle_alpha 90.00
_cell_angle_beta 90.00
_cell_angle_gamma 120.00
loop_
_atom_site_label
_atom_site_fract_x
_atom_site_fract_y
_atom_site_fract_z
Lu1 0.0000 0.0000 0.0988
Zr1 0.0000 0.0000 0.0000
Cu1 0.0000 0.0000 0.5000